CrReAs: single point on PBEsol structure, SCAN.

DOS(E_F) (states/eV/cell): 1.4
VASP energy (eV/atom): -36.462

Geometry as POSCAR:
```
CrReAs
1.0
0.000 2.811 2.811
2.811 0.000 2.811
2.811 2.811 0.000
Cr Re As
1 1 1
direct
0.000 0.000 0.000
0.750 0.750 0.750
0.250 0.250 0.250
```

---

Y2AlP: single point on PBEsol structure, SCAN.

DOS(E_F) (states/eV/cell): 3.0
VASP energy (eV/atom): -19.067
Excess energy over the best structure of this formula in the dataset (meV/atom): 86

Geometry as POSCAR:
```
Y2AlP
1.0
-2.288 2.288 4.034
2.288 -2.288 4.034
2.288 2.288 -4.034
Y Al P
2 1 1
direct
0.250 0.750 0.500
0.750 0.250 0.500
0.000 0.000 0.000
0.500 0.500 0.000
```

---

The highest VASP energy belongs to which entry?
Y2AlP

---

Repeat the second record exactly.
Y2AlP: single point on PBEsol structure, SCAN.

DOS(E_F) (states/eV/cell): 3.0
VASP energy (eV/atom): -19.067
Excess energy over the best structure of this formula in the dataset (meV/atom): 86

Geometry as POSCAR:
```
Y2AlP
1.0
-2.288 2.288 4.034
2.288 -2.288 4.034
2.288 2.288 -4.034
Y Al P
2 1 1
direct
0.250 0.750 0.500
0.750 0.250 0.500
0.000 0.000 0.000
0.500 0.500 0.000
```

---

Repeat the first record exactly.
CrReAs: single point on PBEsol structure, SCAN.

DOS(E_F) (states/eV/cell): 1.4
VASP energy (eV/atom): -36.462

Geometry as POSCAR:
```
CrReAs
1.0
0.000 2.811 2.811
2.811 0.000 2.811
2.811 2.811 0.000
Cr Re As
1 1 1
direct
0.000 0.000 0.000
0.750 0.750 0.750
0.250 0.250 0.250
```